An optimized crystal structure of Pm2HoGe, computed with GGA-PBE.

Formation energy from the elements: -0.3327 eV per atom
Distance to the lowest polymorph of the same formula: 0.000 eV per formula unit
Mass density: 8.2 Mg/m³
Space-group type: P4/mmm
N(E_F): 4.24 states/eV per cell

a b c (Å): 4.781 4.719 4.719
angles (deg): 90.00 90.00 90.00
Positions (direct):
Ge (0.500, 0.500, 0.500)
Ho (0.500, 0.000, 0.000)
Pm (0.000, 0.000, 0.500)
Pm (0.000, 0.500, 0.000)

***

An optimized crystal structure of Pm3HoGe3, computed with GGA-PBE.

Formation energy from the elements: -0.6874 eV per atom
Mass density: 6.7 Mg/m³
Space-group type: R-3
N(E_F): 5.09 states/eV per cell

a b c (Å): 8.820 8.820 7.879
angles (deg): 55.96 55.96 60.00
Positions (direct):
Pm (0.369, 0.808, 0.719)
Pm (0.808, 0.104, 0.719)
Pm (0.104, 0.369, 0.719)
Pm (0.896, 0.631, 0.281)
Pm (0.192, 0.896, 0.281)
Pm (0.631, 0.192, 0.281)
Ho (0.330, 0.330, 0.010)
Ho (0.670, 0.670, 0.990)
Ge (0.296, 0.551, 0.220)
Ge (0.934, 0.296, 0.220)
Ge (0.551, 0.934, 0.220)
Ge (0.449, 0.066, 0.780)
Ge (0.066, 0.704, 0.780)
Ge (0.704, 0.449, 0.780)

***

An optimized crystal structure of PmHo4Ge4, computed with GGA-PBE.

Formation energy from the elements: -0.5777 eV per atom
Mass density: 7.4 Mg/m³
Space-group type: P4_2/n
N(E_F): 16.37 states/eV per cell

a b c (Å): 5.778 9.251 9.251
angles (deg): 90.00 90.00 90.00
Positions (direct):
Pm (0.000, 0.000, 0.000)
Pm (0.500, 0.500, 0.500)
Ho (0.389, 0.339, 0.898)
Ho (0.889, 0.602, 0.839)
Ho (0.389, 0.661, 0.102)
Ho (0.111, 0.161, 0.602)
Ho (0.611, 0.898, 0.661)
Ho (0.111, 0.839, 0.398)
Ho (0.889, 0.398, 0.161)
Ho (0.611, 0.102, 0.339)
Ge (0.607, 0.787, 0.360)
Ge (0.607, 0.213, 0.640)
Ge (0.107, 0.860, 0.713)
Ge (0.893, 0.287, 0.860)
Ge (0.893, 0.713, 0.140)
Ge (0.393, 0.360, 0.213)
Ge (0.393, 0.640, 0.787)
Ge (0.107, 0.140, 0.287)

***

An optimized crystal structure of Pm4HoGe2, computed with GGA-PBE.

Formation energy from the elements: -0.3453 eV per atom
Mass density: 6.9 Mg/m³
Space-group type: R-3m
N(E_F): 9.08 states/eV per cell

a b c (Å): 4.987 4.987 10.400
angles (deg): 76.13 76.13 60.00
Positions (direct):
Pm (0.702, 0.702, 0.893)
Pm (0.894, 0.894, 0.319)
Pm (0.298, 0.298, 0.107)
Pm (0.106, 0.106, 0.681)
Ho (0.500, 0.500, 0.500)
Ge (0.599, 0.599, 0.203)
Ge (0.401, 0.401, 0.797)

***

An optimized crystal structure of PmHo2Ge4, computed with GGA-PBE.

Formation energy from the elements: -0.7504 eV per atom
Mass density: 8.1 Mg/m³
Space-group type: Immm
N(E_F): 2.38 states/eV per cell

a b c (Å): 4.032 4.268 9.621
angles (deg): 102.81 102.09 90.00
Positions (direct):
Ge (0.660, 0.660, 0.320)
Ge (0.340, 0.340, 0.680)
Ge (0.068, 0.568, 0.136)
Ge (0.932, 0.432, 0.864)
Ho (0.818, 0.818, 0.637)
Ho (0.182, 0.182, 0.363)
Pm (0.500, 0.000, 0.000)

***

An optimized crystal structure of Pm2HoGe, computed with GGA-PBE.

Formation energy from the elements: -0.3171 eV per atom
Distance to the lowest polymorph of the same formula: 0.062 eV per formula unit
Mass density: 7.9 Mg/m³
Space-group type: P4/mmm
N(E_F): 3.85 states/eV per cell

a b c (Å): 4.094 4.094 6.624
angles (deg): 90.00 90.00 90.00
Positions (direct):
Ge (0.500, 0.500, 0.000)
Ho (0.500, 0.500, 0.500)
Pm (0.000, 0.000, 0.778)
Pm (0.000, 0.000, 0.222)

***

An optimized crystal structure of Pm5HoGe3, computed with GGA-PBE.

Formation energy from the elements: -0.5127 eV per atom
Mass density: 7.8 Mg/m³
Space-group type: P6_3/mcm
N(E_F): 18.51 states/eV per cell

a b c (Å): 6.509 9.142 9.141
angles (deg): 120.00 90.00 90.00
Positions (direct):
Pm (0.000, 0.667, 0.333)
Pm (0.500, 0.333, 0.667)
Pm (0.000, 0.333, 0.667)
Pm (0.500, 0.667, 0.333)
Pm (0.750, 0.668, 0.669)
Pm (0.750, 0.000, 0.331)
Pm (0.750, 0.331, 0.000)
Pm (0.250, 0.332, 0.331)
Pm (0.250, 0.000, 0.669)
Pm (0.250, 0.669, 0.000)
Ho (0.000, 0.000, 0.000)
Ho (0.500, 0.000, 0.000)
Ge (0.750, 0.332, 0.332)
Ge (0.750, 0.000, 0.668)
Ge (0.750, 0.668, 0.000)
Ge (0.250, 0.668, 0.668)
Ge (0.250, 0.000, 0.332)
Ge (0.250, 0.332, 0.000)

***

An optimized crystal structure of Pm2HoGe2, computed with GGA-PBE.

Formation energy from the elements: -0.6445 eV per atom
Distance to the lowest polymorph of the same formula: 0.723 eV per formula unit
Mass density: 7.2 Mg/m³
Space-group type: P-3m1
N(E_F): 5.40 states/eV per cell

a b c (Å): 5.034 6.282 8.711
angles (deg): 89.95 90.00 90.00
Positions (direct):
Pm (0.250, 0.691, 0.917)
Pm (0.750, 0.309, 0.083)
Pm (0.250, 0.310, 0.583)
Pm (0.750, 0.690, 0.417)
Ho (0.250, 0.000, 0.250)
Ho (0.750, 0.000, 0.750)
Ge (0.250, 0.798, 0.583)
Ge (0.750, 0.202, 0.417)
Ge (0.250, 0.202, 0.917)
Ge (0.750, 0.798, 0.083)